(1)
# HfAlAg

A geometry-optimized HfAlAg structure (PBE, Alexandria via LeMat-Bulk). Values from VASP.

## Properties
Calculated total energy, eV per cell: -17.218
ΔE_f, meV per atom: -224

Geometry as Quantum ESPRESSO input:
```
&SYSTEM
  ibrav = 0, nat = 3, ntyp = 3
/
ATOMIC_SPECIES
Hf 178.49 Hf.upf
Al 26.98 Al.upf
Ag 107.87 Ag.upf
CELL_PARAMETERS angstrom
-0.2595 -1.7142 -2.5604
-2.8580 -2.7953 2.1611
-1.6130 3.6042 -2.2495
ATOMIC_POSITIONS angstrom
Hf -2.2010 0.3282 -2.4862
Al -0.0432 -0.2852 -0.4260
Ag -2.4863 -0.9483 0.2634
```

***

(2)
# LaMn2NbBi

A geometry-optimized LaMn2NbBi structure (PBE, Alexandria via LeMat-Bulk). Values from VASP.

## Properties
Calculated total energy, eV per cell: -32.082
ΔE_f, meV per atom: 1027

Geometry as Quantum ESPRESSO input:
```
&SYSTEM
  ibrav = 0, nat = 5, ntyp = 4
/
ATOMIC_SPECIES
Nb 92.91 Nb.upf
Mn 54.94 Mn.upf
Bi 208.98 Bi.upf
La 138.91 La.upf
CELL_PARAMETERS angstrom
5.0375 0.0000 0.0000
0.0000 5.4148 0.0000
0.0000 0.0000 5.0375
ATOMIC_POSITIONS angstrom
Nb 0.0000 2.7074 0.0000
Mn 0.0000 0.0000 2.5187
Mn 2.5187 0.0000 0.0000
Bi 0.0000 0.0000 0.0000
La 2.5187 2.7074 2.5187
```

***

(3)
# KHg2Os

A geometry-optimized KHg2Os structure (PBE, Alexandria via LeMat-Bulk). Values from VASP.

## Properties
Calculated total energy, eV per cell: -19.069
ΔE_f, meV per atom: 849
Energy above the most stable polymorph in this dataset, eV per atom: 0.268

Geometry as Quantum ESPRESSO input:
```
&SYSTEM
  ibrav = 0, nat = 8, ntyp = 3
/
ATOMIC_SPECIES
K 39.10 K.upf
Os 190.23 Os.upf
Hg 200.59 Hg.upf
CELL_PARAMETERS angstrom
5.7649 0.0000 0.0000
0.0000 5.7649 0.0000
2.8824 2.8824 8.6132
ATOMIC_POSITIONS angstrom
K 2.8824 2.8824 0.0000
K 2.8824 5.7649 4.3066
Os 0.0000 0.0000 0.0000
Os 5.7649 2.8824 4.3066
Hg 5.2928 1.4412 2.1533
Hg 6.2369 4.3236 2.1533
Hg 4.3236 3.3545 6.4599
Hg 7.2061 2.4104 6.4599
```

***

(4)
# InAg2P

A geometry-optimized InAg2P structure (PBE, Alexandria via LeMat-Bulk). Values from VASP.

## Properties
Calculated total energy, eV per cell: -13.220
ΔE_f, meV per atom: 158
Energy above the most stable polymorph in this dataset, eV per atom: 0.000

Geometry as Quantum ESPRESSO input:
```
&SYSTEM
  ibrav = 0, nat = 4, ntyp = 3
/
ATOMIC_SPECIES
Ag 107.87 Ag.upf
In 114.82 In.upf
P 30.97 P.upf
CELL_PARAMETERS angstrom
6.6990 0.5004 -1.0155
5.8277 3.3415 -1.0155
-0.3515 -0.1078 4.3240
ATOMIC_POSITIONS angstrom
Ag 11.8139 3.6232 -1.8426
Ag 3.2954 1.0107 0.3633
In 6.5762 2.0169 1.4444
P 9.1040 2.7921 1.4434
```

***

(5)
# Pr3Sm6Y2Mg

A geometry-optimized Pr3Sm6Y2Mg structure (PBE, Alexandria via LeMat-Bulk). Values from VASP.

## Properties
Calculated total energy, eV per cell: -56.823
ΔE_f, meV per atom: 29

Geometry as Quantum ESPRESSO input:
```
&SYSTEM
  ibrav = 0, nat = 12, ntyp = 4
/
ATOMIC_SPECIES
Pr 140.91 Pr.upf
Sm 150.36 Sm.upf
Y 88.91 Y.upf
Mg 24.30 Mg.upf
CELL_PARAMETERS angstrom
6.2805 -0.0050 0.0109
-3.1431 5.4375 0.0109
-1.0740 -1.8595 11.7326
ATOMIC_POSITIONS angstrom
Pr -2.1098 3.6008 5.8772
Pr 4.1733 -0.0279 5.8772
Pr 1.0317 1.7865 5.8772
Sm 3.1151 1.7889 8.8864
Sm 2.0872 3.6139 2.8941
Sm -1.0516 1.7840 2.8681
Sm -0.0073 3.5922 8.8864
Sm -0.0237 -0.0410 8.8604
Sm 2.0708 -0.0193 2.8681
Y -0.0001 3.6223 0.0109
Y 3.1375 1.8102 0.0109
Mg 0.0000 0.0000 0.0000
```

***

(6)
# LiCdCo

A geometry-optimized LiCdCo structure (PBE, Alexandria via LeMat-Bulk). Values from VASP.

## Properties
Calculated total energy, eV per cell: -9.359
ΔE_f, meV per atom: 192
Energy above the most stable polymorph in this dataset, eV per atom: 0.000

Geometry as Quantum ESPRESSO input:
```
&SYSTEM
  ibrav = 0, nat = 3, ntyp = 3
/
ATOMIC_SPECIES
Cd 112.41 Cd.upf
Co 58.93 Co.upf
Li 6.94 Li.upf
CELL_PARAMETERS angstrom
4.3975 0.0000 0.0000
-2.1987 3.8083 0.0000
0.0000 0.0000 2.6845
ATOMIC_POSITIONS angstrom
Cd 0.0000 0.0000 2.6548
Co 0.0000 2.5389 1.0951
Li 2.1987 1.2694 1.6190
```

***

(7)
# LiAlNi

A geometry-optimized LiAlNi structure (PBE, Alexandria via LeMat-Bulk). Values from VASP.

## Properties
Calculated total energy, eV per cell: -12.331
ΔE_f, meV per atom: -298

Geometry as Quantum ESPRESSO input:
```
&SYSTEM
  ibrav = 0, nat = 3, ntyp = 3
/
ATOMIC_SPECIES
Al 26.98 Al.upf
Li 6.94 Li.upf
Ni 58.69 Ni.upf
CELL_PARAMETERS angstrom
4.0669 0.0000 0.0000
-2.0334 3.5220 0.0000
0.0000 0.0000 2.5860
ATOMIC_POSITIONS angstrom
Al 0.0000 0.0000 0.0290
Li 2.0334 1.1740 0.9788
Ni 0.0000 2.3480 1.5781
```

***

(8)
# Ti2PPb

A geometry-optimized Ti2PPb structure (PBE, Alexandria via LeMat-Bulk). Values from VASP.

## Properties
Calculated total energy, eV per cell: -51.571
ΔE_f, meV per atom: -219
Energy above the most stable polymorph in this dataset, eV per atom: 0.000

Geometry as Quantum ESPRESSO input:
```
&SYSTEM
  ibrav = 0, nat = 8, ntyp = 3
/
ATOMIC_SPECIES
Pb 207.20 Pb.upf
P 30.97 P.upf
Ti 47.87 Ti.upf
CELL_PARAMETERS angstrom
-5.7113 -4.1424 1.1962
3.2575 -5.4462 -3.3071
-0.0375 -5.6764 1.5688
ATOMIC_POSITIONS angstrom
Pb 0.0000 0.0000 0.0000
Pb -3.4879 -7.3065 0.8548
P -1.2269 -4.7943 -1.0555
P 0.9965 -7.9585 -1.3969
Ti -2.8907 -4.4850 0.6676
Ti 1.0316 -5.5446 -1.4663
Ti -0.7881 -8.1210 0.2223
Ti -2.3356 -12.3794 -0.5077
```

***

(9)
# Ce2SnGe

A geometry-optimized Ce2SnGe structure (PBE, Alexandria via LeMat-Bulk). Values from VASP.

## Properties
Calculated total energy, eV per cell: -22.780
ΔE_f, meV per atom: -573

Geometry as Quantum ESPRESSO input:
```
&SYSTEM
  ibrav = 0, nat = 4, ntyp = 3
/
ATOMIC_SPECIES
Ge 72.64 Ge.upf
Sn 118.71 Sn.upf
Ce 140.12 Ce.upf
CELL_PARAMETERS angstrom
4.3529 0.0000 0.0000
0.0000 4.8171 0.0000
0.0000 0.0000 4.8171
ATOMIC_POSITIONS angstrom
Ge 2.1764 0.0000 0.0000
Sn 2.1764 2.4085 2.4085
Ce 0.0000 0.0000 2.4085
Ce 0.0000 2.4085 0.0000
```

***

(10)
# HfMnNiRh2

A geometry-optimized HfMnNiRh2 structure (PBE, Alexandria via LeMat-Bulk). Values from VASP.

## Properties
Calculated total energy, eV per cell: -37.125
ΔE_f, meV per atom: 496

Geometry as Quantum ESPRESSO input:
```
&SYSTEM
  ibrav = 0, nat = 5, ntyp = 4
/
ATOMIC_SPECIES
Rh 102.91 Rh.upf
Mn 54.94 Mn.upf
Hf 178.49 Hf.upf
Ni 58.69 Ni.upf
CELL_PARAMETERS angstrom
-3.1195 0.2855 -3.2437
0.6539 -4.0633 -0.9865
-3.1808 -1.2284 2.9509
ATOMIC_POSITIONS angstrom
Rh -1.5904 -0.6142 1.4755
Rh -1.5597 0.1427 -1.6219
Mn 0.0000 0.0000 0.0000
Hf -2.8232 -2.5031 -0.6397
Ni 0.3270 -2.0317 -0.4933
```

***

(11)
# LiAs2W

A geometry-optimized LiAs2W structure (PBE, Alexandria via LeMat-Bulk). Values from VASP.

## Properties
Calculated total energy, eV per cell: -24.009
ΔE_f, meV per atom: 39
Energy above the most stable polymorph in this dataset, eV per atom: 0.229

Geometry as Quantum ESPRESSO input:
```
&SYSTEM
  ibrav = 0, nat = 4, ntyp = 3
/
ATOMIC_SPECIES
As 74.92 As.upf
Li 6.94 Li.upf
W 183.84 W.upf
CELL_PARAMETERS angstrom
-0.7082 -3.2341 1.2937
2.0411 0.6845 2.8285
-4.0436 1.8715 2.4650
ATOMIC_POSITIONS angstrom
As -3.8617 1.7873 2.3541
As -0.5634 -0.7056 2.8108
Li -1.8676 0.8644 1.1385
W -2.4834 0.1830 3.9813
```

***

(12)
# ScTeW3

A geometry-optimized ScTeW3 structure (PBE, Alexandria via LeMat-Bulk). Values from VASP.

## Properties
Calculated total energy, eV per cell: -36.183
Formation energy from raw total energies, kJ/mol of formula units: 1172
Energy above the most stable polymorph in this dataset, eV per atom: 0.434

Geometry as Quantum ESPRESSO input:
```
&SYSTEM
  ibrav = 0, nat = 5, ntyp = 3
/
ATOMIC_SPECIES
Sc 44.96 Sc.upf
Te 127.60 Te.upf
W 183.84 W.upf
CELL_PARAMETERS angstrom
4.7468 0.0000 0.0000
0.0000 4.7468 0.0000
0.0000 0.0000 4.7468
ATOMIC_POSITIONS angstrom
Sc 0.0000 0.0000 0.0000
Te 2.3734 2.3734 2.3734
W 0.0000 2.3734 0.0000
W 0.0000 0.0000 2.3734
W 2.3734 0.0000 0.0000
```